1.
Entry from Alexandria via LeMat-Bulk: a relaxed PuBIr crystal (GGA-PBE).

Its density of states at the Fermi level is 22.96 states/eV per cell. Its crystal system is orthorhombic. The energy relative to the elements comes out at -0.29 eV per atom. As for the uncorrected energy: -0.377 hartree per atom. Its total magnetization is 1.519 μB per atom.

Cell lengths 3.9481, 6.6836, 6.7893 Å; angles 90.00, 90.00, 90.00 degrees
Closest atoms and distances in Å follow each position.
Fractional positions:
B 0.7500 0.8844 0.8108  4 Ir 2.23-2.39
Ir 0.2500 0.4221 0.3625  4 B 2.23-2.39
Pu 0.7500 0.3452 0.0141  5 B 2.71-2.97, 4 Ir 2.85-2.99, 2 Pu 2.87
Ir 0.2500 0.0779 0.8625  4 B 2.23-2.39
Pu 0.2500 0.8452 0.4859  5 B 2.71-2.97, 4 Ir 2.85-2.99, 2 Pu 2.87
B 0.7500 0.6156 0.3108  4 Ir 2.23-2.39
B 0.2500 0.3844 0.6892  4 Ir 2.23-2.39
Pu 0.2500 0.6548 0.9859  5 B 2.71-2.97, 4 Ir 2.85-2.99, 2 Pu 2.87
B 0.2500 0.1156 0.1892  4 Ir 2.23-2.39
Pu 0.7500 0.1548 0.5141  5 B 2.71-2.97, 4 Ir 2.85-2.99, 2 Pu 2.87
Ir 0.7500 0.9221 0.1375  4 B 2.23-2.39
Ir 0.7500 0.5779 0.6375  4 B 2.23-2.39

2.
Entry from Alexandria via LeMat-Bulk: a relaxed Pu2BIr2 crystal (GGA-PBE).

Its density of states at the Fermi level is 15.27 states/eV per cell. Its crystal system is monoclinic. The energy relative to the elements comes out at -0.11 eV per atom. As for the uncorrected energy: -0.394 hartree per atom. Its total magnetization is 0.000 μB per atom.

Cell lengths 5.4846, 5.4846, 5.9498 Å; angles 82.37, 82.37, 63.10 degrees
Closest atoms and distances in Å follow each position.
Fractional positions:
Pu 0.6705 0.5154 0.3616  2 Pu 2.35-2.37
Ir 0.9151 0.7920 0.0052  2 B 2.19-2.20
Pu 0.3295 0.4846 0.6384  2 Pu 2.35-2.37
Ir 0.7920 0.9151 0.5052  2 B 2.19-2.20
B 0.8625 0.1375 0.7500  4 Ir 2.19-2.20
Ir 0.2080 0.0849 0.4948  2 B 2.19-2.20
Ir 0.0849 0.2080 0.9948  2 B 2.19-2.20
Pu 0.5154 0.6705 0.8616  2 Pu 2.35-2.37
Pu 0.4846 0.3295 0.1384  2 Pu 2.35-2.37
B 0.1375 0.8625 0.2500  4 Ir 2.19-2.20

3.
Entry from Alexandria via LeMat-Bulk: a relaxed PuBIr crystal (GGA-PBE).

Its density of states at the Fermi level is 30.05 states/eV per cell. Its crystal system is monoclinic. The energy relative to the elements comes out at -0.41 eV per atom. As for the uncorrected energy: -0.381 hartree per atom. Its total magnetization is 1.752 μB per atom.

Cell lengths 6.2225, 5.0698, 6.5497 Å; angles 71.74, 90.00, 90.00 degrees
Closest atoms and distances in Å follow each position.
Fractional positions:
Ir 0.8935 0.7452 0.5646  3 B 2.06-2.15
Pu 0.8922 0.7060 0.0997  4 B 2.68-2.92, 2 Ir 2.95-3.00
B 0.3479 0.3960 0.2138  3 Ir 2.06-2.15
B 0.6521 0.6040 0.7862  3 Ir 2.06-2.15
Pu 0.1078 0.2940 0.9003  4 B 2.68-2.92, 2 Ir 2.95-3.00
Pu 0.6078 0.2060 0.5997  4 B 2.68-2.92, 2 Ir 2.95-3.00
Pu 0.3922 0.7940 0.4003  4 B 2.68-2.92, 2 Ir 2.95-3.00
Ir 0.3935 0.7548 0.9354  3 B 2.06-2.15
B 0.1521 0.8960 0.7138  3 Ir 2.06-2.15
B 0.8479 0.1040 0.2862  3 Ir 2.06-2.15
Ir 0.6065 0.2452 0.0646  3 B 2.06-2.15
Ir 0.1065 0.2548 0.4354  3 B 2.06-2.15

4.
Entry from Alexandria via LeMat-Bulk: a relaxed PuB2Ir5 crystal (GGA-PBE).

Its density of states at the Fermi level is 9.53 states/eV per cell. Its crystal system is orthorhombic. The energy relative to the elements comes out at -0.32 eV per atom. As for the uncorrected energy: -0.342 hartree per atom. Its total magnetization is 0.487 μB per atom.

Cell lengths 3.9123, 5.8603, 5.8603 Å; angles 67.28, 70.50, 70.50 degrees
Closest atoms and distances in Å follow each position.
Fractional positions:
Pu 0.0000 0.0000 0.0000  4 B 3.02, 10 Ir 3.03-3.25
B 0.2429 0.2571 0.2571  3 Ir 2.12-2.17
Ir 0.6500 0.5592 0.1408  1 B 2.12
B 0.7571 0.7429 0.7429  3 Ir 2.12-2.17
Ir 0.3500 0.8592 0.4408  1 B 2.12
Ir 0.0000 0.5000 0.5000  2 B 2.17
Ir 0.3500 0.4408 0.8592  1 B 2.12
Ir 0.6500 0.1408 0.5592  1 B 2.12

5.
Entry from Alexandria via LeMat-Bulk: a relaxed PuBIr crystal (GGA-PBE).

Its density of states at the Fermi level is 7.89 states/eV per cell. Its crystal system is hexagonal. The energy relative to the elements comes out at -0.40 eV per atom. As for the uncorrected energy: -0.380 hartree per atom. Its total magnetization is 1.840 μB per atom.

Cell lengths 4.1914, 3.7196, 3.7196 Å; angles 120.00, 90.00, 90.00 degrees
Closest atoms and distances in Å follow each position.
Fractional positions:
B 0.1667 0.6667 0.3333  3 Ir 2.15
Pu 0.6667 0.3333 0.6667  6 Ir 3.00, 6 B 3.00
Ir 0.1667 0.0000 0.0000  3 B 2.15

6.
Entry from Alexandria via LeMat-Bulk: a relaxed Pu2B7Ir12 crystal (GGA-PBE).

Its density of states at the Fermi level is 24.83 states/eV per cell. Its crystal system is trigonal. The energy relative to the elements comes out at -0.31 eV per atom. As for the uncorrected energy: -0.329 hartree per atom. Its total magnetization is 0.369 μB per atom.

Cell lengths 3.8820, 9.0124, 9.0124 Å; angles 120.00, 90.00, 90.00 degrees
Closest atoms and distances in Å follow each position.
Fractional positions:
Ir 0.7510 0.3795 0.9333  3 B 2.18-2.44
Ir 0.2519 0.7509 0.8503  2 B 2.15-2.18
Ir 0.7481 0.9006 0.7509  2 B 2.15-2.18
Ir 0.7481 0.8503 0.0994  2 B 2.15-2.18
Ir 0.2519 0.1497 0.9006  2 B 2.15-2.18
Ir 0.7510 0.5538 0.6205  3 B 2.18-2.44
B 0.7594 0.2918 0.4061  3 Ir 2.15-2.23
B 0.2406 0.7082 0.5939  3 Ir 2.15-2.23
B 0.2406 0.8856 0.2918  3 Ir 2.15-2.23
B 0.7594 0.5939 0.8856  3 Ir 2.15-2.23
Ir 0.2490 0.4462 0.3795  3 B 2.18-2.44
Pu 0.7450 0.6667 0.3333  6 B 2.91-2.93, 9 Ir 2.94-3.22
Ir 0.7481 0.2491 0.1497  2 B 2.15-2.18
B 0.7594 0.1144 0.7082  3 Ir 2.15-2.23
B 0.5000 0.0000 0.0000  6 Ir 2.18
B 0.2406 0.4061 0.1144  3 Ir 2.15-2.23
Ir 0.7510 0.0667 0.4462  3 B 2.18-2.44
Pu 0.2550 0.3333 0.6667  6 B 2.91-2.93, 9 Ir 2.94-3.22
Ir 0.2519 0.0994 0.2491  2 B 2.15-2.18
Ir 0.2490 0.6205 0.0667  3 B 2.18-2.44
Ir 0.2490 0.9333 0.5538  3 B 2.18-2.44

7.
Entry from Alexandria via LeMat-Bulk: a relaxed Pu3B2Ir4 crystal (GGA-PBE).

Its density of states at the Fermi level is 22.99 states/eV per cell. Its crystal system is monoclinic. The energy relative to the elements comes out at -0.41 eV per atom. As for the uncorrected energy: -0.390 hartree per atom. Its total magnetization is 1.659 μB per atom.

Cell lengths 3.8234, 5.6203, 8.5155 Å; angles 113.39, 90.00, 109.89 degrees
Closest atoms and distances in Å follow each position.
Fractional positions:
Pu 0.0000 0.0000 0.0000  4 Ir 2.82
B 0.6744 0.3488 0.3159  4 Ir 2.14-2.28
Ir 0.7154 0.4309 0.0894  1 B 2.15
Ir 0.8514 0.7027 0.5876  3 B 2.14-2.28
Pu 0.3969 0.7938 0.3183  6 Ir 2.82-3.16, 1 Pu 2.94, 3 B 2.94-3.02
B 0.3256 0.6512 0.6841  4 Ir 2.14-2.28
Pu 0.6031 0.2062 0.6817  6 Ir 2.82-3.16, 1 Pu 2.94, 3 B 2.94-3.02
Ir 0.1486 0.2973 0.4124  3 B 2.14-2.28
Ir 0.2846 0.5691 0.9106  1 B 2.15

8.
Entry from Alexandria via LeMat-Bulk: a relaxed Pu2B2Ir3 crystal (GGA-PBE).

Its density of states at the Fermi level is 9.00 states/eV per cell. Its crystal system is monoclinic. The energy relative to the elements comes out at -0.22 eV per atom. As for the uncorrected energy: -0.368 hartree per atom. Its total magnetization is 0.000 μB per atom.

Cell lengths 3.1845, 5.4356, 7.0120 Å; angles 120.73, 90.00, 107.03 degrees
Closest atoms and distances in Å follow each position.
Fractional positions:
Pu 0.8248 0.6495 0.1410  2 Pu 2.36
B 0.8551 0.7103 0.7451  5 Ir 2.22-2.26
Ir 0.5000 0.0000 0.0000  4 B 2.26
Ir 0.6165 0.2330 0.4513  3 B 2.22-2.23
Ir 0.3835 0.7670 0.5487  3 B 2.22-2.23
Pu 0.1752 0.3505 0.8590  2 Pu 2.36
B 0.1449 0.2897 0.2549  5 Ir 2.22-2.26